Entry 1:
A plane-wave DFT calculation with PBE was carried out for a relaxed VZn2In crystal.

```
VZn2In
1.0
-3.221 1.985 -1.343
-2.350 -2.984 1.226
-0.392 1.769 3.556
Zn V In
2 1 1
Direct
0.000 0.000 0.500 Zn
0.000 0.500 0.000 Zn
0.500 0.000 0.000 V
0.500 0.500 0.500 In
```

Properties
**Energy of formation**: 0.071 eV/atom
**Crystal system**: tetragonal
**Space group**: P4/mmm, No. 123
**Raw total energy**: -3.53 eV/atom

***

Entry 2:
A plane-wave DFT calculation with PBE was carried out for a relaxed VZn2In crystal.

```
VZn2In
1.0
-0.328 -3.632 6.356
-4.706 -4.768 -2.968
-0.399 -5.792 0.893
Zn In V
4 2 2
Direct
0.612 0.125 0.250 Zn
0.138 0.625 0.250 Zn
0.375 0.388 0.750 Zn
0.875 0.862 0.750 Zn
0.000 0.000 0.000 In
0.750 0.250 0.500 In
0.500 0.500 0.000 V
0.250 0.750 0.500 V
```

Properties
**Energy of formation**: 0.416 eV/atom
**Crystal system**: tetragonal
**Space group**: I-42d, No. 122
**Raw total energy**: -3.18 eV/atom

***

Entry 3:
A plane-wave DFT calculation with PBE was carried out for a relaxed V3ZnIn crystal.

```
V3ZnIn
1.0
-3.122 -0.247 3.225
-1.932 -3.452 -2.135
2.594 -2.869 2.291
Zn In V
1 1 3
Direct
0.000 0.000 0.000 Zn
0.500 0.500 0.500 In
0.000 0.500 0.000 V
0.000 0.000 0.500 V
0.500 0.000 0.000 V
```

Properties
**Energy of formation**: 1.018 eV/atom
**Crystal system**: cubic
**Space group**: Pm-3m, No. 221
**Raw total energy**: -5.26 eV/atom
**ΔE to the lowest computed polymorph**: 0 meV per atom

***

Entry 4:
A plane-wave DFT calculation with PBE was carried out for a relaxed VZn4In crystal.

```
VZn4In
1.0
-0.675 2.936 4.210
-4.391 -0.347 2.721
0.032 -2.168 4.701
Zn V In
4 1 1
Direct
0.624 0.624 0.128 Zn
0.624 0.128 0.624 Zn
0.624 0.624 0.624 Zn
0.128 0.624 0.624 Zn
0.250 0.250 0.250 V
0.000 0.000 0.000 In
```

Properties
**Energy of formation**: 0.156 eV/atom
**Crystal system**: cubic
**Space group**: F-43m, No. 216
**Raw total energy**: -2.67 eV/atom

***

Entry 5:
A plane-wave DFT calculation with PBE was carried out for a relaxed V2ZnIn crystal.

```
V2ZnIn
1.0
-2.510 5.881 -3.193
-0.926 -3.682 -6.055
-4.174 0.465 -3.862
Zn In V
2 2 4
Direct
0.500 0.500 0.000 Zn
0.250 0.750 0.500 Zn
0.000 0.000 0.000 In
0.750 0.250 0.500 In
0.610 0.125 0.250 V
0.140 0.625 0.250 V
0.375 0.390 0.750 V
0.875 0.860 0.750 V
```

Properties
**Energy of formation**: 0.583 eV/atom
**Crystal system**: tetragonal
**Space group**: I-42d, No. 122
**Raw total energy**: -4.98 eV/atom

***

Entry 6:
A plane-wave DFT calculation with PBE was carried out for a relaxed VZn2In crystal.

```
VZn2In
1.0
-1.337 1.984 -1.630
-2.757 0.697 0.540
1.754 8.264 6.052
Zn V In
2 1 1
Direct
0.083 0.083 0.750 Zn
0.917 0.917 0.250 Zn
0.000 0.000 0.000 V
0.500 0.500 0.500 In
```

Properties
**Energy of formation**: 0.592 eV/atom
**Crystal system**: trigonal
**Space group**: R-3m, No. 166
**Raw total energy**: -3.01 eV/atom

***

Entry 7:
A plane-wave DFT calculation with PBE was carried out for a relaxed Zr4VIn2 crystal.

```
Zr4VIn2
1.0
4.646 0.000 0.000
0.000 4.646 0.000
2.323 2.323 7.904
V Zr In
1 4 2
Direct
0.000 0.000 0.000 V
0.177 0.177 0.646 Zr
0.823 0.823 0.354 Zr
0.000 0.500 0.000 Zr
0.500 0.000 0.000 Zr
0.362 0.362 0.276 In
0.638 0.638 0.724 In
```

Properties
**Energy of formation**: 0.350 eV/atom
**Crystal system**: tetragonal
**Space group**: I4/mmm, No. 139
**Raw total energy**: -6.62 eV/atom

***

Entry 8:
A plane-wave DFT calculation with PBE was carried out for a relaxed Zr2VIn crystal.

```
Zr2VIn
1.0
-1.502 -0.664 -2.773
0.148 -2.971 -1.242
-8.226 -3.597 3.444
V Zr In
1 2 1
Direct
0.000 0.000 0.000 V
0.258 0.258 0.226 Zr
0.742 0.742 0.774 Zr
0.500 0.500 0.500 In
```

Properties
**Energy of formation**: 0.107 eV/atom
**Crystal system**: trigonal
**Space group**: R-3m, No. 166
**Raw total energy**: -7.13 eV/atom

***

Entry 9:
A plane-wave DFT calculation with PBE was carried out for a relaxed Zr2VIn crystal.

```
Zr2VIn
1.0
-0.412 -3.414 0.544
3.426 -0.476 -0.392
0.891 0.950 6.640
V Zr In
1 2 1
Direct
0.500 0.500 0.000 V
0.000 0.000 0.774 Zr
0.000 0.000 0.226 Zr
0.500 0.500 0.500 In
```

Properties
**Energy of formation**: -0.086 eV/atom
**Crystal system**: tetragonal
**Space group**: P4/mmm, No. 123
**Raw total energy**: -7.32 eV/atom

***

Entry 10:
A plane-wave DFT calculation with PBE was carried out for a relaxed Zr2VIn crystal.

```
Zr2VIn
1.0
-0.805 3.865 1.039
-0.485 -1.147 3.889
9.475 2.999 4.209
In Zr V
2 4 2
Direct
0.000 0.000 0.000 In
0.750 0.250 0.500 In
0.616 0.125 0.250 Zr
0.134 0.625 0.250 Zr
0.375 0.384 0.750 Zr
0.875 0.866 0.750 Zr
0.500 0.500 0.000 V
0.250 0.750 0.500 V
```

Properties
**Energy of formation**: 0.529 eV/atom
**Crystal system**: tetragonal
**Space group**: I-42d, No. 122
**Raw total energy**: -6.71 eV/atom

***

Entry 11:
A plane-wave DFT calculation with PBE was carried out for a relaxed ZrV4In crystal.

```
ZrV4In
1.0
-2.349 -4.586 -0.533
2.739 -4.377 0.418
-0.643 -3.075 4.119
V Zr In
4 1 1
Direct
0.622 0.622 0.135 V
0.622 0.135 0.622 V
0.622 0.622 0.622 V
0.135 0.622 0.622 V
0.250 0.250 0.250 Zr
0.000 0.000 0.000 In
```

Properties
**Energy of formation**: 0.038 eV/atom
**Crystal system**: cubic
**Space group**: F-43m, No. 216
**Raw total energy**: -7.92 eV/atom

***

Entry 12:
A plane-wave DFT calculation with PBE was carried out for a relaxed ZrVIn3 crystal.

```
ZrVIn3
1.0
-2.389 -2.242 -4.404
-0.719 -4.681 2.774
-4.889 1.785 1.744
In Zr V
3 1 1
Direct
0.000 0.500 0.000 In
0.000 0.000 0.500 In
0.500 0.000 0.000 In
0.000 0.000 0.000 Zr
0.500 0.500 0.500 V
```

Properties
**Energy of formation**: 1.067 eV/atom
**Crystal system**: cubic
**Space group**: Pm-3m, No. 221
**Raw total energy**: -4.11 eV/atom